Ta2Hg: optimized geometry, PBE-GGA.

Cell: 4.7236 2.8465 18.6293 Å, 90.00 90.00 90.00°
With the nearest neighbours (Å) after each atom.
Fractional coordinates of all 12 atoms:
Hg 0.0000 0.2500 0.6317  2 Hg 2.85, 8 Ta 3.04-3.13
Hg 0.0000 0.7500 0.3683  2 Hg 2.85, 8 Ta 3.04-3.13
Hg 0.5000 0.7500 0.1317  2 Hg 2.85, 8 Ta 3.04-3.13
Hg 0.5000 0.2500 0.8683  2 Hg 2.85, 8 Ta 3.04-3.13
Ta 0.0000 0.2500 0.0634  5 Ta 2.75-2.85, 4 Hg 3.04
Ta 0.0000 0.7500 0.9366  5 Ta 2.75-2.85, 4 Hg 3.04
Ta 0.5000 0.7500 0.5634  5 Ta 2.75-2.85, 4 Hg 3.04
Ta 0.5000 0.2500 0.4366  5 Ta 2.75-2.85, 4 Hg 3.04
Ta 0.0000 0.2500 0.2112  5 Ta 2.75-2.85
Ta 0.0000 0.7500 0.7888  5 Ta 2.75-2.85
Ta 0.5000 0.7500 0.7112  5 Ta 2.75-2.85
Ta 0.5000 0.2500 0.2888  5 Ta 2.75-2.85

Output
* total magnetization: 0.000 μB/atom
* SG: No. 74
* energy of formation: 16.82 kcal/mol of atoms

Mg6Ni2Ag: optimized geometry, PBE-GGA.

Cell: 8.6156 7.5634 7.5634 Å, 66.11 55.28 55.28°
With the nearest neighbours (Å) after each atom.
Fractional coordinates of all 18 atoms:
Mg 0.2820 0.1851 0.8149  3 Ni 2.69-2.79, 1 Ag 2.87
Mg 0.7180 0.8149 0.1851  3 Ni 2.69-2.79, 1 Ag 2.87
Mg 0.7180 0.1851 0.8149  3 Ni 2.69-2.79, 1 Ag 2.87
Mg 0.2820 0.8149 0.1851  3 Ni 2.69-2.79, 1 Ag 2.87
Mg 0.7535 0.4507 0.0423  2 Ni 2.59-2.72, 2 Ag 2.85-2.90
Mg 0.2465 0.5493 0.9577  2 Ni 2.59-2.72, 2 Ag 2.85-2.90
Mg 0.7535 0.0423 0.4507  2 Ni 2.59-2.72, 2 Ag 2.85-2.90
Mg 0.2465 0.9577 0.5493  2 Ni 2.59-2.72, 2 Ag 2.85-2.90
Mg 0.9681 0.3292 0.3292  3 Ni 2.58-2.67
Mg 0.0319 0.6708 0.6708  3 Ni 2.58-2.67
Mg 0.3736 0.3292 0.3292  3 Ni 2.58-2.67
Mg 0.6264 0.6708 0.6708  3 Ni 2.58-2.67
Ni 0.3747 0.1253 0.1253  1 Ni 2.33, 2 Mg 2.58
Ni 0.6253 0.8747 0.8747  1 Ni 2.33, 2 Mg 2.58
Ni 0.0000 0.3501 0.6499  1 Ni 2.47, 6 Mg 2.59-2.67
Ni 0.0000 0.6499 0.3501  1 Ni 2.47, 6 Mg 2.59-2.67
Ag 0.5000 0.5000 0.5000  12 Mg 2.90-3.21
Ag 0.0000 0.0000 0.0000  8 Mg 2.85-2.87, 2 Ni 2.89

Output
* total magnetization: 0.000 μB/atom
* SG: No. 71
* energy of formation: -3.58 kcal/mol of atoms

LaSnRh4: optimized geometry, PBE-GGA.

Cell: 5.3714 5.3714 5.3714 Å, 60.00 60.00 60.00°
With the nearest neighbours (Å) after each atom.
Fractional coordinates of all 6 atoms:
Rh 0.6262 0.6262 0.1214  6 Rh 2.66-2.71
Rh 0.6262 0.1214 0.6262  6 Rh 2.66-2.71
Rh 0.6262 0.6262 0.6262  6 Rh 2.66-2.71
Rh 0.1214 0.6262 0.6262  6 Rh 2.66-2.71
Sn 0.0000 0.0000 0.0000  12 Rh 3.15, 4 La 3.29
La 0.2500 0.2500 0.2500  12 Rh 3.15, 4 Sn 3.29

Output
* total magnetization: 0.000 μB/atom
* energy above the most stable polymorph in this dataset: 0.0 meV/atom
* SG: No. 216
* energy of formation: -10.25 kcal/mol of atoms

NpHgSb2: optimized geometry, PBE-GGA.

Cell: 4.0737 4.0737 6.5489 Å, 90.00 90.00 90.00°
With the nearest neighbours (Å) after each atom.
Fractional coordinates of all 4 atoms:
Np 0.5000 0.5000 0.0000  8 Sb 3.23, 2 Hg 3.27
Sb 0.0000 0.0000 0.7754  1 Sb 2.94, 4 Np 3.23
Sb 0.0000 0.0000 0.2246  1 Sb 2.94, 4 Np 3.23
Hg 0.5000 0.5000 0.5000  2 Np 3.27, 8 Sb 3.40

Output
* total magnetization: 1.019 μB/atom
* ΔE_f (raw): -0.06 eV/atom
* energy above the most stable polymorph in this dataset: 79.9 meV/atom
* SG: No. 123

- Which formula does entry 1 have?
  Ta2Hg